No. 1
Computed, not measured: an optimized crystal structure of KEuPS4 at the PBE level of DFT.

a = 17.0092 Å, b = 6.6627 Å, c = 6.6063 Å
α = 90.00°, β = 90.00°, γ = 90.00°
With the nearest neighbours (Å) after each atom.
Space group Pnma (No. 62)
Inequivalent atoms, fractional coordinates:
K: 0.2145 0.2500 0.0374 x4  8 S 3.38-3.52
Eu: 0.0230 0.7500 0.7105 x4  6 S 2.96-3.07
P: 0.0943 0.7500 0.2211 x4  4 S 2.05-2.06
S: 0.0234 0.2500 0.8521 x4  1 P 2.06
S: 0.1165 0.5036 0.4006 x8  1 P 2.06
S: 0.1649 0.7500 0.9705 x4  1 P 2.05

Calculated density = 3.1 g/cm³
DOS at the Fermi energy = 0.199 states/eV/atom
Calculated total energy = -5.904 eV per atom

***

No. 2
Computed, not measured: an optimized crystal structure of Ca2PPb at the PBE level of DFT.

a = 4.8991 Å, b = 4.8991 Å, c = 8.5789 Å
α = 90.00°, β = 90.00°, γ = 90.00°
With the nearest neighbours (Å) after each atom.
Space group I4/mmm (No. 139)
Inequivalent atoms, fractional coordinates:
Ca: 0.0000 0.5000 0.2500 x4  4 Pb 3.26, 4 P 3.26, 4 Ca 3.46
P: 0.0000 0.0000 0.0000 x2  8 Ca 3.26, 4 Pb 3.46
Pb: 0.0000 0.0000 0.5000 x2  8 Ca 3.26, 4 P 3.46

Formation energy = -0.53 eV/atom
Calculated density = 5.1 g/cm³
DOS at the Fermi energy = 0.432 states/eV/atom

***

No. 3
Computed, not measured: an optimized crystal structure of ScMn2Au at the PBE level of DFT.

a = 3.1223 Å, b = 3.1772 Å, c = 6.6185 Å
α = 90.00°, β = 90.00°, γ = 90.00°
With the nearest neighbours (Å) after each atom.
Space group Pmm2 (No. 25)
Inequivalent atoms, fractional coordinates:
Sc: 0.0000 0.0000 0.0000 x1  5 Mn 2.87-3.04, 4 Au 2.92, 4 Sc 3.12-3.18
Mn: 0.0000 0.0000 0.4596 x1  4 Mn 2.55, 4 Au 2.79
Mn: 0.5000 0.5000 0.2733 x1  4 Mn 2.55
Au: 0.5000 0.5000 0.7145 x1  5 Mn 2.79-2.92, 4 Sc 2.92, 2 Au 3.12

Formation energy = -0.17 eV/atom
Calculated density = 8.9 g/cm³
DOS at the Fermi energy = 0.754 states/eV/atom